This record from Alexandria describes Ca3SnF6 after structural relaxation. The functional is PBE.

Structure (POSCAR):
```
Ca3SnF6
1.0
5.332 -0.271 -0.280
1.147 6.151 -0.169
0.449 2.849 6.023
F Ca Sn
6 3 1
direct
0.714 0.135 0.703
0.208 0.331 0.364
0.792 0.669 0.636
0.278 0.620 0.746
0.722 0.380 0.254
0.286 0.865 0.297
0.000 0.500 0.000
0.500 0.500 0.500
0.000 0.000 0.500
0.000 0.000 0.000
```

## Properties
energy relative to the elements, uncorrected: -3.054 eV/atom
mass density: 2.903 g/cm3
crystal system: triclinic

This record from Alexandria describes TeAsRu4 after structural relaxation. The functional is PBE.

Structure (POSCAR):
```
TeAsRu4
1.0
0.000 3.697 3.697
3.697 0.000 3.697
3.697 3.697 0.000
As Te Ru
1 1 4
direct
0.000 0.000 0.000
0.750 0.750 0.750
0.375 0.375 0.876
0.876 0.375 0.375
0.375 0.876 0.375
0.375 0.375 0.375
```

## Properties
energy relative to the elements, uncorrected: 0.721 eV/atom
mass density: 9.973 g/cm3
crystal system: cubic

This record from Alexandria describes RbLiAc2Br8 after structural relaxation. The functional is PBE.

Structure (POSCAR):
```
RbLiAc2Br8
1.0
-2.683 -6.805 -0.186
5.186 -3.026 4.154
-5.159 1.821 7.771
Br Rb Ac Li
8 1 2 1
direct
0.684 0.694 0.000
0.190 0.800 0.208
0.316 0.306 0.000
0.669 0.682 0.500
0.190 0.800 0.792
0.810 0.200 0.208
0.810 0.200 0.792
0.331 0.318 0.500
0.000 0.000 0.500
0.500 0.500 0.759
0.500 0.500 0.241
0.000 0.000 0.000
```

## Properties
energy relative to the elements, uncorrected: -1.854 eV/atom
mass density: 3.901 g/cm3
crystal system: monoclinic